Record 1
{
  "formula": "BeRhAu2",
  "functional": "PBE",
  "state": "optimized geometry",
  "lattice": [[-1.875, 1.875, 9.348], [1.875, -1.875, 9.348], [1.875, 1.875, -9.348]],
  "species": ["Be", "Be", "Rh", "Rh", "Au", "Au", "Au", "Au"],
  "fractional_positions": [[0.000, 0.000, 0.000], [0.750, 0.250, 0.500], [0.250, 0.750, 0.500], [0.500, 0.500, 0.000], [0.120, 0.625, 0.995], [0.375, 0.370, 0.495], [0.630, 0.125, 0.005], [0.875, 0.880, 0.505]],
  "magmom_total_mub_per_cell": 0.00,
  "rho_g_cm3": 12.8,
  "formation_enthalpy_0k_mev_per_atom": 322
}


Record 2
{
  "formula": "Pr2Sm3DyBi6",
  "functional": "PBE",
  "state": "optimized geometry",
  "lattice": [[9.964, -2.288, 0.000], [9.964, 2.288, 0.000], [-2.097, 0.000, 8.902]],
  "species": ["Pr", "Pr", "Sm", "Sm", "Sm", "Dy", "Bi", "Bi", "Bi", "Bi", "Bi", "Bi"],
  "fractional_positions": [[0.166, 0.166, 0.332], [0.834, 0.834, 0.668], [0.168, 0.168, 0.834], [0.500, 0.500, 0.500], [0.832, 0.832, 0.166], [0.500, 0.500, 0.000], [0.002, 0.002, 0.755], [0.334, 0.334, 0.414], [0.335, 0.335, 0.922], [0.665, 0.665, 0.078], [0.666, 0.666, 0.586], [0.998, 0.998, 0.245]],
  "magmom_total_mub_per_cell": 0.00,
  "rho_g_cm3": 8.8,
  "formation_enthalpy_0k_mev_per_atom": -922
}


Record 3
{
  "formula": "CePm2Pu3S6",
  "functional": "PBE",
  "state": "optimized geometry",
  "lattice": [[8.700, -1.993, 0.000], [8.700, 1.993, 0.000], [-1.842, 0.000, 7.789]],
  "species": ["Ce", "Pm", "Pm", "Pu", "Pu", "Pu", "S", "S", "S", "S", "S", "S"],
  "fractional_positions": [[0.000, 0.000, 0.000], [0.333, 0.333, 0.666], [0.667, 0.667, 0.334], [0.000, 0.000, 0.500], [0.334, 0.334, 0.166], [0.666, 0.666, 0.834], [0.165, 0.165, 0.588], [0.169, 0.169, 0.080], [0.498, 0.498, 0.255], [0.502, 0.502, 0.745], [0.831, 0.831, 0.920], [0.835, 0.835, 0.412]],
  "magmom_total_mub_per_cell": 17.68,
  "formation_energy_uncorrected_ev_per_atom": -1.92,
  "rho_g_cm3": 8.3
}


Record 4
{
  "formula": "Ac4GdLu",
  "functional": "PBE",
  "state": "optimized geometry",
  "lattice": [[0.000, 5.049, 5.049], [5.049, 0.000, 5.049], [5.049, 5.049, 0.000]],
  "species": ["Ac", "Ac", "Ac", "Ac", "Gd", "Lu"],
  "fractional_positions": [[0.376, 0.376, 0.376], [0.376, 0.376, 0.873], [0.376, 0.873, 0.376], [0.873, 0.376, 0.376], [0.000, 0.000, 0.000], [0.750, 0.750, 0.750]],
  "magmom_total_mub_per_cell": 7.59,
  "rho_g_cm3": 8.0,
  "formation_enthalpy_0k_mev_per_atom": 383
}


Record 5
{
  "formula": "Tl",
  "functional": "PBE",
  "state": "optimized geometry",
  "lattice": [[0.000, 4.729, 6.154], [4.519, 0.000, 6.154], [4.519, 4.729, 0.000]],
  "species": ["Tl", "Tl", "Tl", "Tl", "Tl", "Tl", "Tl", "Tl"],
  "fractional_positions": [[0.051, 0.699, 0.699], [0.197, 0.553, 0.197], [0.301, 0.949, 0.949], [0.447, 0.803, 0.447], [0.553, 0.197, 0.553], [0.699, 0.051, 0.051], [0.803, 0.447, 0.803], [0.949, 0.301, 0.301]],
  "relative_energy_mev_per_atom": 101,
  "magmom_total_mub_per_cell": 0.00,
  "rho_g_cm3": 10.3,
  "formation_enthalpy_0k_mev_per_atom": 101
}


Record 6
{
  "formula": "NaCaSb2",
  "functional": "PBE",
  "state": "optimized geometry",
  "lattice": [[4.201, 0.000, 0.000], [0.000, 4.201, 0.000], [0.000, 0.000, 6.800]],
  "species": ["Na", "Ca", "Sb", "Sb"],
  "fractional_positions": [[0.000, 0.000, 0.000], [0.000, 0.000, 0.500], [0.500, 0.500, 0.288], [0.500, 0.500, 0.712]],
  "relative_energy_mev_per_atom": 24,
  "magmom_total_mub_per_cell": 0.00,
  "formation_energy_uncorrected_ev_per_atom": -0.56,
  "rho_g_cm3": 4.2
}


Record 7
{
  "formula": "Dy3HoEr12",
  "functional": "PBE",
  "state": "optimized geometry",
  "lattice": [[4.959, 0.000, 0.000], [0.000, 4.959, 0.000], [0.000, 0.000, 19.824]],
  "species": ["Dy", "Dy", "Dy", "Ho", "Er", "Er", "Er", "Er", "Er", "Er", "Er", "Er", "Er", "Er", "Er", "Er"],
  "fractional_positions": [[0.000, 0.000, 0.000], [0.000, 0.000, 0.250], [0.000, 0.000, 0.750], [0.000, 0.000, 0.500], [0.000, 0.500, 0.125], [0.000, 0.500, 0.375], [0.000, 0.500, 0.625], [0.000, 0.500, 0.875], [0.500, 0.000, 0.125], [0.500, 0.000, 0.375], [0.500, 0.000, 0.625], [0.500, 0.000, 0.875], [0.500, 0.500, 0.000], [0.500, 0.500, 0.250], [0.500, 0.500, 0.500], [0.500, 0.500, 0.750]],
  "magmom_total_mub_per_cell": 0.00,
  "rho_g_cm3": 9.1,
  "formation_enthalpy_0k_mev_per_atom": 22
}